# 1
Entry from Alexandria: RePPt2 after structural relaxation (GGA-PBEsol).

formation energy = 0.173 eV/atom
raw total energy = -0.5946 Ry/atom
space group = F-43m

POSCAR file:
```
RePPt2
1.0
4.329 0.000 0.000
2.164 3.749 0.000
2.164 1.250 3.534
Pt P Re
2 1 1
Direct
0.750 0.750 0.750 Pt
0.000 0.000 0.000 Pt
0.500 0.500 0.500 P
0.250 0.250 0.250 Re
```

---

# 2
Entry from Alexandria: ReWCl3 after structural relaxation (GGA-PBEsol).

formation energy without anion corrections = 1.375 eV per atom
raw total energy = -0.3864 Ry/atom
space group = Pm-3m

POSCAR file:
```
ReWCl3
1.0
-2.404 -4.042 0.777
-0.454 -0.633 -4.703
4.091 -2.446 -0.065
Cl Re W
3 1 1
Direct
0.000 0.500 0.000 Cl
0.000 0.000 0.500 Cl
0.500 0.000 0.000 Cl
0.500 0.500 0.500 Re
0.000 0.000 0.000 W
```